# 1
Computed, not measured: a geometry-optimized CaMoN3 structure at the PBE-GGA level of DFT.

POSCAR file:
```
CaMoN3
1.0
7.2439 0.0048 -0.0317
0.5347 2.9485 0.0041
0.4653 -1.5728 6.2340
Ca Mo N
2 2 6
Cartesian
4.0191 1.5461 3.4961 Ca
5.9988 1.1681 5.9760 Ca
7.3719 0.8796 2.9243 Mo
2.5796 1.6523 0.8229 Mo
6.7820 0.9681 1.0286 N
1.6751 2.1126 2.9412 N
3.4755 0.0708 1.6018 N
3.7070 0.0812 5.3921 N
0.7552 0.8187 0.6148 N
6.1450 -0.3627 3.9726 N
```

Computed properties:
Energy relative to the elements, uncorrected in eV/atom: -0.401
Symmetry: P1
N(E_F) in states/eV per cell: 0.0
Calculated density in g/cm³: 4.437

---

# 2
Computed, not measured: a geometry-optimized Nd2GdTe structure at the PBE-GGA level of DFT.

POSCAR file:
```
Nd2GdTe
1.0
-3.3070 -3.3276 -0.7538
2.4567 -3.1194 2.9921
-2.5903 1.6927 3.8915
Te Gd Nd
1 1 2
Cartesian
-1.7203 -2.3771 3.0649 Te
-1.6535 -1.6638 -0.3769 Gd
-1.2951 0.8464 1.9458 Nd
1.2284 -1.5597 1.4961 Nd
```

Computed properties:
Relative energy among the computed polymorphs in meV per atom: 71
Energy relative to the elements, uncorrected in eV/atom: -0.524
Symmetry: P4/mmm
N(E_F) in states/eV per cell: 4.4
Calculated density in g/cm³: 8.106

---

# 3
Computed, not measured: a geometry-optimized TiPt3N structure at the PBE-GGA level of DFT.

POSCAR file:
```
TiPt3N
1.0
-2.0226 -1.6242 3.9436
4.1030 0.4502 2.2898
-1.1640 4.4091 1.2189
N Pt Ti
1 3 1
Cartesian
0.4582 1.6176 3.7261 N
2.0515 0.2251 1.1449 Pt
-0.5820 2.2045 0.6094 Pt
-1.0113 -0.8121 1.9718 Pt
0.0000 0.0000 0.0000 Ti
```

Computed properties:
Relative energy among the computed polymorphs in meV per atom: 1458
Energy relative to the elements, uncorrected in eV/atom: 1.719
Symmetry: Pm-3m
N(E_F) in states/eV per cell: 1.8
Calculated density in g/cm³: 10.218

---

# 4
Computed, not measured: a geometry-optimized PaCuPS structure at the PBE-GGA level of DFT.

POSCAR file:
```
PaCuPS
1.0
-3.1869 -3.3306 -0.1938
0.6281 -3.9322 2.3303
-2.5947 -0.9282 3.7004
P S Pa Cu
1 1 1 1
Cartesian
-3.8652 -6.1433 4.3777 P
-1.2884 -2.0478 1.4592 S
0.0000 0.0000 0.0000 Pa
-2.5768 -4.0955 2.9185 Cu
```

Computed properties:
Relative energy among the computed polymorphs in meV per atom: 194
Energy relative to the elements, uncorrected in eV/atom: -0.709
Symmetry: F-43m
N(E_F) in states/eV per cell: 4.2
Calculated density in g/cm³: 8.551